Below is an optimized crystal structure of BaFePt4, with properties calculated at the GGA-PBE level.

Summary:
space-group type: No. 216
raw total energy: -35.2 eV/f.u.
ΔE_f: -0.10 eV per atom

Cell: 5.4841 5.4841 5.4841 Å, 60.00 60.00 60.00°
Closest atoms and distances in Å follow each position.
Element x y z (fractional)
1 Ba 0.0000 0.0000 0.0000  12 Pt 3.22, 4 Fe 3.36
2 Fe 0.7500 0.7500 0.7500  12 Pt 3.21, 4 Ba 3.36
3 Pt 0.3757 0.3757 0.3757  6 Pt 2.73-2.76
4 Pt 0.3757 0.3757 0.8729  6 Pt 2.73-2.76
5 Pt 0.3757 0.8729 0.3757  6 Pt 2.73-2.76
6 Pt 0.8729 0.3757 0.3757  6 Pt 2.73-2.76